Compound: Li2MnOF3
Source: Alexandria via LeMat-Bulk
Functional: PBE+U
Structure: optimized geometry

Structure (extended XYZ):
```
14
Lattice="4.803 -3.142 0.000 4.803 3.142 0.000 -3.603 0.000 4.831" Properties=species:S:1:pos:R:3 pbc="T T T"
Li 0.000 0.000 0.000
Li 2.099 1.462 1.729
Li 2.099 -1.462 1.729
Li 4.467 0.000 1.637
Mn -1.006 0.000 3.244
Mn 2.865 0.000 4.127
O 3.676 1.277 3.001
O 3.676 -1.277 3.001
F 0.997 0.000 2.740
F 2.791 0.000 0.474
F 5.513 1.305 0.444
F 5.513 -1.305 0.444
F 7.967 0.000 0.888
F 6.557 0.000 3.033
```

Results
The total magnetic moment is 4.000 μB per formula unit. The calculation puts the energy above the lowest structure with this stoichiometry at 38.0 meV per atom.